[1]
## Sm5Al4Ag (PBE)

Data for a relaxed structure of Sm5Al4Ag.

Lattice parameters (Å, degrees): 3.649 3.649 18.831 90.00 90.00 90.00
Space group P4/mmm (No. 123)
Asymmetric unit:
Sm (0.000, 0.000, 0.000)
Sm (0.000, 0.000, 0.197)
Sm (0.000, 0.000, 0.396)
Al (0.500, 0.500, 0.098)
Al (0.500, 0.500, 0.298)
Ag (0.500, 0.500, 0.500)



[2]
## SrSmAlAg (PBE)

Data for a relaxed structure of SrSmAlAg.

Lattice parameters (Å, degrees): 7.626 7.626 7.626 90.00 90.00 90.00
Space group F-43m (No. 216)
Asymmetric unit:
Sr (0.000, 0.000, 0.000)
Sm (0.000, 0.000, 0.500)
Al (0.250, 0.250, 0.750)
Ag (0.250, 0.250, 0.250)



[3]
## TbSmAlAg (PBE)

Data for a relaxed structure of TbSmAlAg.

Calculated values
Polymorph energy (0 for the lowest one) in eV/f.u.: 0.11

Lattice parameters (Å, degrees): 7.385 7.385 7.385 90.00 90.00 90.00
Space group F-43m (No. 216)
Asymmetric unit:
Tb (0.000, 0.000, 0.000)
Sm (0.000, 0.000, 0.500)
Al (0.250, 0.250, 0.750)
Ag (0.250, 0.250, 0.250)



Results for ΔH_f (0 K): -34.12; -18.94; -30.53 (in kJ per mole of atoms, following the order of the records).
Results for M_tot: 0.00; 0.00; 0.00 (in μB per formula unit, following the order of the records).